! PBE CoMo2HPd, optimized geometry; values from VASP
! - DFT total energy: -7.38 eV per atom
&SYSTEM
  ibrav = 0, nat = 5, ntyp = 4
/
ATOMIC_SPECIES
Co 58.93 Co.upf
Mo 95.94 Mo.upf
H 1.01 H.upf
Pd 106.42 Pd.upf
CELL_PARAMETERS angstrom
3.909 0.000 0.000
0.000 3.909 0.000
0.000 0.000 3.897
ATOMIC_POSITIONS angstrom
Co 0.000 0.000 0.000
Mo 0.000 1.954 1.949
Mo 1.954 0.000 1.949
H 0.000 0.000 1.949
Pd 1.954 1.954 0.000


! PBE BaAsSe2Br, optimized geometry; values from VASP
! - ΔE to the lowest computed polymorph: 1485.9 meV/atom
! - Raw formation energy: 0.605 eV/atom
&SYSTEM
  ibrav = 0, nat = 5, ntyp = 4
/
ATOMIC_SPECIES
Ba 137.33 Ba.upf
As 74.92 As.upf
Se 78.96 Se.upf
Br 79.90 Br.upf
CELL_PARAMETERS angstrom
6.250 0.000 0.000
0.000 6.250 0.000
0.000 0.000 6.474
ATOMIC_POSITIONS angstrom
Ba 0.000 0.000 0.000
As 0.000 0.000 3.237
Se 0.000 3.125 0.000
Se 3.125 0.000 0.000
Br 3.125 3.125 3.237


! PBE TbY3Mg8, optimized geometry; values from VASP
! - DFT formation energy: -9 kJ/mol of atoms
&SYSTEM
  ibrav = 0, nat = 12, ntyp = 3
/
ATOMIC_SPECIES
Tb 158.93 Tb.upf
Y 88.91 Y.upf
Mg 24.30 Mg.upf
CELL_PARAMETERS angstrom
3.030 1.749 9.825
-3.030 1.749 9.825
0.000 -3.498 9.825
ATOMIC_POSITIONS angstrom
Tb 0.000 0.000 0.000
Y 0.000 0.000 3.671
Y 0.000 0.000 14.739
Y 0.000 0.000 18.422
Mg 0.000 -1.748 6.749
Mg -1.514 0.874 6.749
Mg -1.513 -0.874 11.668
Mg 0.000 0.000 9.208
Mg 1.514 0.874 6.750
Mg 1.513 -0.874 11.668
Mg 0.000 1.748 11.668
Mg 0.000 0.000 23.943